[1]
Below is a geometry-optimized Li2CuNiF6 structure, with properties calculated at the PBE+U level.

Results
Space-group type   P2_1/c
V   10.56 A^3/atom

POSCAR file:
```
Li2CuNiF6
1.0
5.0542 0.0000 0.0000
0.0000 5.1797 0.0000
-4.8095 0.0000 8.0693
Li Cu Ni F
4 2 2 12
Direct
0.2450 0.0354 0.2377 Li
0.2450 0.4646 0.7377 Li
0.7550 0.5354 0.2623 Li
0.7550 0.9646 0.7623 Li
0.0000 0.0000 0.5000 Cu
0.0000 0.5000 0.0000 Cu
0.5000 0.0000 0.0000 Ni
0.5000 0.5000 0.5000 Ni
0.0991 0.1804 0.9379 F
0.0991 0.3196 0.4379 F
0.2294 0.6745 0.9097 F
0.2294 0.8255 0.4097 F
0.4173 0.1090 0.7761 F
0.4173 0.3910 0.2761 F
0.5827 0.6090 0.7239 F
0.5827 0.8910 0.2239 F
0.7706 0.1745 0.5903 F
0.7706 0.3255 0.0903 F
0.9009 0.6804 0.5621 F
0.9009 0.8196 0.0621 F
```


[2]
Below is a geometry-optimized Li2CuNiF6 structure, with properties calculated at the PBE+U level.

Results
Space-group type   Fm-3m
V   12.52 A^3/atom

POSCAR file:
```
Li2CuNiF6
1.0
0.0000 3.9705 3.9705
3.9705 0.0000 3.9705
3.9705 3.9705 0.0000
Li Cu Ni F
2 1 1 6
Direct
0.2500 0.2500 0.2500 Li
0.7500 0.7500 0.7500 Li
0.0000 0.0000 0.0000 Cu
0.5000 0.5000 0.5000 Ni
0.2505 0.2505 0.7495 F
0.2505 0.7495 0.2505 F
0.2505 0.7495 0.7495 F
0.7495 0.2505 0.2505 F
0.7495 0.2505 0.7495 F
0.7495 0.7495 0.2505 F
```


no.,size of the total moment (μB per cell),energy above the most stable polymorph in this dataset (eV/atom)
1,6.01,0.0000
2,3.01,0.2314